Computed, not measured: a relaxed structure of ZnCrN2F at the GGA+U level of DFT.

The energy above the lowest structure with this stoichiometry comes out at 446.0 meV/atom.

It has space group P4/mmm (No. 123), with a = 3.880 Å, b = 3.880 Å, c = 4.010 Å, α = 90.00°, β = 90.00° and γ = 90.00°. The distinct sites, in fractional coordinates, are Zn at (0.000, 0.000, 0.000), Cr at (0.500, 0.500, 0.500), N at (0.000, 0.500, 0.000) and F at (0.000, 0.000, 0.500).